A plane-wave DFT calculation with PBE with a Hubbard U was carried out for a relaxed GaMo2F2 crystal.

a b c (Å): 7.2611 7.2611 3.2567
angles (deg): 90.00 90.00 90.00
Fractional coordinates of all 10 atoms:
F 0.3695 0.8695 0.0000
Mo 0.3284 0.1716 0.5000
Mo 0.8284 0.3284 0.5000
F 0.8695 0.6305 0.0000
Ga 0.5000 0.5000 0.0000
Ga 0.0000 0.0000 0.0000
Mo 0.6716 0.8284 0.5000
Mo 0.1716 0.6716 0.5000
F 0.6305 0.1305 0.0000
F 0.1305 0.3695 0.0000

* DFT total energy: -4.410 eV/atom
* energy above the most stable polymorph in this dataset: 5 meV/atom
* symmetry: No. 127
* theoretical density: 5.8 g cm⁻³